Compound: CoPd2PtO8
Source: Alexandria
Functional: PBE with a Hubbard U
Structure: relaxed

Unit cell a=5.666 b=5.666 c=5.666 alpha=112.95 beta=112.95 gamma=102.71
Fractional positions:
Co  0.000  0.000  0.000
Pd  0.250  0.750  0.500
Pd  0.500  0.500  0.000
Pt  0.750  0.250  0.500
O  0.031  0.345  0.314
O  0.031  0.716  0.686
O  0.091  0.273  0.818
O  0.284  0.969  0.314
O  0.455  0.273  0.182
O  0.655  0.969  0.686
O  0.727  0.545  0.818
O  0.727  0.909  0.182

- Electronic total energy: -5.087 eV/atom
- Symmetry: I-4m2 (119)